Entry from Alexandria via LeMat-Bulk: a geometry-optimized TbVAgF6 structure (GGA+U).

a = 5.2724 Å, b = 5.2724 Å, c = 10.4563 Å
α = 90.00°, β = 90.00°, γ = 90.00°
Fractional positions:
Tb 0.0000 0.0000 0.0000
Tb 0.5000 0.5000 0.5000
V 0.0000 0.0000 0.3374
V 0.5000 0.5000 0.8374
Ag 0.0000 0.0000 0.6700
Ag 0.5000 0.5000 0.1700
F 0.1758 0.1758 0.1735
F 0.2048 0.2048 0.4803
F 0.2165 0.2165 0.8561
F 0.2835 0.7165 0.3561
F 0.2952 0.7048 0.9803
F 0.3242 0.6758 0.6735
F 0.6758 0.3242 0.6735
F 0.7048 0.2952 0.9803
F 0.7165 0.2835 0.3561
F 0.7835 0.7835 0.8561
F 0.7952 0.7952 0.4803
F 0.8242 0.8242 0.1735

Values from the calculation:
Space group: P4_2nm, No. 102
E in eV per atom: -5.815